Run 1
A plane-wave DFT calculation with PBE was carried out for an optimized crystal structure of Ag2SbS3.

Summary:
DOS(E_F): 0.4052 states/eV per atom
crystal system: monoclinic
theoretical density: 5.9 Mg/m³

Lattice parameters (Å, degrees): 6.723 6.723 7.789 106.72 106.72 46.66
Positions (direct):
Ag: 0.164 0.165 0.082
Ag: 0.165 0.164 0.582
Ag: 0.835 0.836 0.418
Ag: 0.836 0.835 0.918
Sb: 0.500 0.500 0.250
Sb: 0.500 0.500 0.750
S: 0.001 0.999 0.750
S: 0.336 0.337 0.419
S: 0.337 0.336 0.919
S: 0.663 0.664 0.081
S: 0.664 0.663 0.581
S: 0.999 0.001 0.250

Run 2
A plane-wave DFT calculation with PBE was carried out for an optimized crystal structure of Ag2SbS3.

Summary:
DOS(E_F): 0.1619 states/eV per atom
crystal system: orthorhombic
theoretical density: 4.8 Mg/m³

Lattice parameters (Å, degrees): 6.985 6.985 6.985 141.76 61.53 133.72
Positions (direct):
Ag: 0.164 0.000 0.164
Ag: 0.836 0.000 0.836
Sb: 0.479 0.979 0.500
S: 0.054 0.716 0.339
S: 0.377 0.716 0.661
S: 0.682 0.682 0.000

run 2 is preferred energetically. Next in line: 15 meV per atom higher.

Run 1
A plane-wave DFT calculation with PBE was carried out for an optimized crystal structure of Ag4SbS4.

Summary:
DOS(E_F): 0.2749 states/eV per atom
crystal system: orthorhombic
theoretical density: 5.3 Mg/m³

Lattice parameters (Å, degrees): 7.003 7.003 8.812 90.00 90.00 82.11
Positions (direct):
Ag: 0.101 0.612 0.750
Ag: 0.322 0.322 0.000
Ag: 0.322 0.322 0.500
Ag: 0.388 0.899 0.750
Ag: 0.612 0.101 0.250
Ag: 0.678 0.678 0.000
Ag: 0.678 0.678 0.500
Ag: 0.899 0.388 0.250
Sb: 0.177 0.823 0.250
Sb: 0.823 0.177 0.750
S: 0.172 0.226 0.750
S: 0.226 0.172 0.250
S: 0.297 0.703 0.510
S: 0.297 0.703 0.990
S: 0.703 0.297 0.010
S: 0.703 0.297 0.490
S: 0.774 0.828 0.750
S: 0.828 0.774 0.250

Run 2
A plane-wave DFT calculation with PBE was carried out for an optimized crystal structure of Ag4SbS4.

Summary:
DOS(E_F): 0.7190 states/eV per atom
crystal system: tetragonal
theoretical density: 5.1 Mg/m³

Lattice parameters (Å, degrees): 7.346 7.346 7.346 131.08 131.08 71.68
Positions (direct):
Ag: 0.000 0.500 0.500
Ag: 0.240 0.240 0.000
Ag: 0.500 0.000 0.500
Ag: 0.760 0.760 0.000
Sb: 0.500 0.500 0.000
S: 0.123 0.620 0.000
S: 0.380 0.380 0.503
S: 0.620 0.123 0.000
S: 0.877 0.877 0.497

run 1 is preferred energetically. Next in line: 94 meV per atom higher.

Run 1
A plane-wave DFT calculation with PBE was carried out for an optimized crystal structure of AgSbSeS.

Summary:
DOS(E_F): 0.3754 states/eV per atom
crystal system: tetragonal
theoretical density: 6.3 Mg/m³

Lattice parameters (Å, degrees): 4.000 4.000 5.629 90.00 90.00 90.00
Positions (direct):
Ag: 0.000 0.000 0.000
Sb: 0.500 0.500 0.500
Se: 0.500 0.500 0.000
S: 0.000 0.000 0.500

Run 2
A plane-wave DFT calculation with PBE was carried out for an optimized crystal structure of AgSbSeS.

Summary:
crystal system: monoclinic
theoretical density: 5.0 Mg/m³

Lattice parameters (Å, degrees): 4.618 4.618 6.627 110.22 110.22 60.14
Positions (direct):
Ag: 0.000 0.000 0.000
Sb: 0.499 0.499 0.500
Se: 0.360 0.360 0.079
S: 0.852 0.852 0.560

run 2 is preferred energetically. Next in line: 19 meV per atom higher.

Run 1
A plane-wave DFT calculation with PBE was carried out for an optimized crystal structure of Sc3AgS.

Summary:
DOS(E_F): 0.1856 states/eV per atom
crystal system: cubic
theoretical density: 3.4 Mg/m³

Lattice parameters (Å, degrees): 5.122 5.122 5.122 90.00 90.00 90.00
Positions (direct):
Sc: 0.000 0.000 0.500
Sc: 0.000 0.500 0.000
Sc: 0.500 0.000 0.000
Ag: 0.000 0.000 0.000
S: 0.500 0.500 0.500

Run 2
A plane-wave DFT calculation with PBE was carried out for an optimized crystal structure of Sc3AgS.

Summary:
DOS(E_F): 1.1904 states/eV per atom
crystal system: cubic
theoretical density: 4.1 Mg/m³

Lattice parameters (Å, degrees): 4.801 4.801 4.801 90.00 90.00 90.00
Positions (direct):
Sc: 0.000 0.000 0.500
Sc: 0.000 0.500 0.000
Sc: 0.500 0.000 0.000
Ag: 0.500 0.500 0.500
S: 0.000 0.000 0.000

Run 3
A plane-wave DFT calculation with PBE was carried out for an optimized crystal structure of Sc3AgS.

Summary:
DOS(E_F): 0.6569 states/eV per atom
crystal system: orthorhombic
theoretical density: 4.4 Mg/m³

Lattice parameters (Å, degrees): 8.382 3.583 13.769 90.00 90.00 90.00
Positions (direct):
Sc: 0.024 0.250 0.109
Sc: 0.162 0.250 0.532
Sc: 0.194 0.750 0.284
Sc: 0.306 0.250 0.784
Sc: 0.338 0.750 0.032
Sc: 0.476 0.750 0.609
Sc: 0.524 0.250 0.391
Sc: 0.662 0.250 0.968
Sc: 0.694 0.750 0.216
Sc: 0.806 0.250 0.716
Sc: 0.838 0.750 0.468
Sc: 0.976 0.750 0.891
Ag: 0.080 0.750 0.683
Ag: 0.420 0.250 0.183
Ag: 0.580 0.750 0.817
Ag: 0.920 0.250 0.317
S: 0.171 0.250 0.948
S: 0.329 0.750 0.448
S: 0.671 0.250 0.552
S: 0.829 0.750 0.052

run 3 is preferred energetically. Next in line: 214 meV per atom higher.

Run 1
A plane-wave DFT calculation with PBE was carried out for an optimized crystal structure of AgSe3S.

Summary:
DOS(E_F): 0.7004 states/eV per atom
crystal system: cubic
theoretical density: 5.4 Mg/m³

Lattice parameters (Å, degrees): 4.883 4.883 4.883 90.00 90.00 90.00
Positions (direct):
Ag: 0.000 0.000 0.000
Se: 0.000 0.500 0.500
Se: 0.500 0.000 0.500
Se: 0.500 0.500 0.000
S: 0.500 0.500 0.500

Run 2
A plane-wave DFT calculation with PBE was carried out for an optimized crystal structure of AgSe3S.

Summary:
DOS(E_F): 1.5038 states/eV per atom
crystal system: cubic
theoretical density: 4.9 Mg/m³

Lattice parameters (Å, degrees): 5.029 5.029 5.029 90.00 90.00 90.00
Positions (direct):
Ag: 0.000 0.000 0.000
Se: 0.000 0.000 0.500
Se: 0.000 0.500 0.000
Se: 0.500 0.000 0.000
S: 0.500 0.500 0.500

run 1 is preferred energetically. Next in line: 457 meV per atom higher.

Run 1
A plane-wave DFT calculation with PBE was carried out for an optimized crystal structure of Ag2SeS.

Summary:
DOS(E_F): 0.9024 states/eV per atom
crystal system: tetragonal
theoretical density: 5.5 Mg/m³

Lattice parameters (Å, degrees): 7.156 7.156 7.156 131.99 131.99 70.24
Positions (direct):
Ag: 0.106 0.625 0.981
Ag: 0.375 0.356 0.481
Ag: 0.644 0.125 0.019
Ag: 0.875 0.894 0.519
Se: 0.250 0.750 0.500
Se: 0.500 0.500 0.000
S: 0.000 0.000 0.000
S: 0.750 0.250 0.500

Run 2
A plane-wave DFT calculation with PBE was carried out for an optimized crystal structure of Ag2SeS.

Summary:
DOS(E_F): 0.6089 states/eV per atom
crystal system: trigonal
theoretical density: 6.9 Mg/m³

Lattice parameters (Å, degrees): 6.627 6.627 6.627 33.48 33.48 33.48
Positions (direct):
Ag: 0.246 0.246 0.246
Ag: 0.754 0.754 0.754
Se: 0.000 0.000 0.000
S: 0.500 0.500 0.500

run 2 is preferred energetically. Next in line: 77 meV per atom higher.

Run 1
A plane-wave DFT calculation with PBE was carried out for an optimized crystal structure of Ag2SeS.

Summary:
DOS(E_F): 0.9481 states/eV per atom
crystal system: cubic
theoretical density: 7.1 Mg/m³

Lattice parameters (Å, degrees): 4.753 4.753 4.753 60.00 60.00 60.00
Positions (direct):
Ag: 0.250 0.250 0.250
Ag: 0.750 0.750 0.750
Se: 0.000 0.000 0.000
S: 0.500 0.500 0.500

Run 2
A plane-wave DFT calculation with PBE was carried out for an optimized crystal structure of Ag2SeS.

Summary:
DOS(E_F): 0.4862 states/eV per atom
crystal system: trigonal
theoretical density: 6.7 Mg/m³

Lattice parameters (Å, degrees): 6.775 6.775 6.775 32.74 32.74 32.74
Positions (direct):
Ag: 0.000 0.000 0.000
Ag: 0.158 0.158 0.158
Se: 0.581 0.581 0.581
S: 0.409 0.409 0.409

run 2 is preferred energetically. Next in line: 199 meV per atom higher.

Run 1
A plane-wave DFT calculation with PBE was carried out for an optimized crystal structure of Ag5SeS.

Summary:
DOS(E_F): 0.2444 states/eV per atom
crystal system: orthorhombic
theoretical density: 5.6 Mg/m³

Lattice parameters (Å, degrees): 6.812 6.812 6.812 138.27 109.22 85.67
Positions (direct):
Ag: 0.000 0.000 0.000
Ag: 0.246 0.746 0.500
Ag: 0.324 0.500 0.824
Ag: 0.676 0.500 0.176
Ag: 0.754 0.254 0.500
Se: 0.500 0.000 0.500
S: 0.000 0.500 0.500

Run 2
A plane-wave DFT calculation with PBE was carried out for an optimized crystal structure of Ag5SeS.

Summary:
DOS(E_F): 0.2994 states/eV per atom
crystal system: monoclinic
theoretical density: 8.0 Mg/m³

Lattice parameters (Å, degrees): 5.078 5.078 10.602 96.66 96.66 87.10
Positions (direct):
Ag: 0.005 0.995 0.750
Ag: 0.080 0.484 0.134
Ag: 0.231 0.465 0.430
Ag: 0.465 0.231 0.930
Ag: 0.484 0.080 0.634
Ag: 0.516 0.920 0.366
Ag: 0.535 0.769 0.070
Ag: 0.769 0.535 0.570
Ag: 0.920 0.516 0.866
Ag: 0.995 0.005 0.250
Se: 0.408 0.592 0.750
Se: 0.592 0.408 0.250
S: 0.000 0.000 0.000
S: 0.000 0.000 0.500

run 2 is preferred energetically. Next in line: 132 meV per atom higher.

Run 1
A plane-wave DFT calculation with PBE was carried out for an optimized crystal structure of Ag6Se2S.

Summary:
DOS(E_F): 0.2379 states/eV per atom
crystal system: tetragonal
theoretical density: 6.5 Mg/m³

Lattice parameters (Å, degrees): 5.859 5.859 12.519 90.00 90.00 90.00
Positions (direct):
Ag: 0.174 0.174 0.000
Ag: 0.231 0.231 0.378
Ag: 0.231 0.231 0.622
Ag: 0.269 0.731 0.122
Ag: 0.269 0.731 0.878
Ag: 0.326 0.674 0.500
Ag: 0.674 0.326 0.500
Ag: 0.731 0.269 0.122
Ag: 0.731 0.269 0.878
Ag: 0.769 0.769 0.378
Ag: 0.769 0.769 0.622
Ag: 0.826 0.826 0.000
Se: 0.000 0.000 0.210
Se: 0.000 0.000 0.790
Se: 0.500 0.500 0.290
Se: 0.500 0.500 0.710
S: 0.000 0.000 0.500
S: 0.500 0.500 0.000

Run 2
A plane-wave DFT calculation with PBE was carried out for an optimized crystal structure of Ag6Se2S.

Summary:
crystal system: monoclinic
theoretical density: 6.2 Mg/m³

Lattice parameters (Å, degrees): 8.756 8.756 6.111 96.72 96.72 104.26
Positions (direct):
Ag: 0.119 0.129 0.403
Ag: 0.129 0.119 0.903
Ag: 0.208 0.479 0.943
Ag: 0.224 0.478 0.434
Ag: 0.478 0.224 0.934
Ag: 0.479 0.208 0.443
Ag: 0.521 0.792 0.557
Ag: 0.522 0.776 0.066
Ag: 0.776 0.522 0.566
Ag: 0.792 0.521 0.057
Ag: 0.871 0.881 0.097
Ag: 0.881 0.871 0.597
Se: 0.002 0.697 0.860
Se: 0.303 0.998 0.640
Se: 0.697 0.002 0.360
Se: 0.998 0.303 0.140
S: 0.435 0.565 0.750
S: 0.565 0.435 0.250

run 2 is preferred energetically. Next in line: 49 meV per atom higher.

Run 1
A plane-wave DFT calculation with PBE was carried out for an optimized crystal structure of Ag8SeS2.

Summary:
DOS(E_F): 0.2334 states/eV per atom
crystal system: monoclinic
theoretical density: 7.5 Mg/m³

Lattice parameters (Å, degrees): 7.231 7.231 7.869 116.20 116.20 37.70
Positions (direct):
Ag: 0.070 0.070 0.261
Ag: 0.136 0.136 0.660
Ag: 0.306 0.306 0.503
Ag: 0.373 0.373 0.925
Ag: 0.627 0.627 0.075
Ag: 0.694 0.694 0.497
Ag: 0.864 0.864 0.340
Ag: 0.930 0.930 0.739
Se: 0.500 0.500 0.500
S: 0.136 0.136 0.985
S: 0.864 0.864 0.015

Run 2
A plane-wave DFT calculation with PBE was carried out for an optimized crystal structure of Ag8SeS2.

Summary:
DOS(E_F): 0.1838 states/eV per atom
crystal system: monoclinic
theoretical density: 8.2 Mg/m³

Lattice parameters (Å, degrees): 7.494 7.494 7.093 102.55 102.55 31.88
Positions (direct):
Ag: 0.045 0.045 0.203
Ag: 0.134 0.134 0.689
Ag: 0.321 0.321 0.597
Ag: 0.401 0.401 0.037
Ag: 0.599 0.599 0.963
Ag: 0.679 0.679 0.403
Ag: 0.866 0.866 0.311
Ag: 0.955 0.955 0.797
Se: 0.500 0.500 0.500
S: 0.237 0.237 0.205
S: 0.763 0.763 0.795

run 1 is preferred energetically. Next in line: 9 meV per atom higher.

Run 1
A plane-wave DFT calculation with PBE was carried out for an optimized crystal structure of Ag8Se2S.

Summary:
DOS(E_F): 0.2131 states/eV per atom
crystal system: monoclinic
theoretical density: 8.4 Mg/m³

Lattice parameters (Å, degrees): 7.565 7.565 7.138 103.80 103.80 31.79
Positions (direct):
Ag: 0.044 0.044 0.204
Ag: 0.125 0.125 0.664
Ag: 0.322 0.322 0.596
Ag: 0.404 0.404 0.040
Ag: 0.596 0.596 0.960
Ag: 0.678 0.678 0.404
Ag: 0.875 0.875 0.336
Ag: 0.956 0.956 0.796
Se: 0.236 0.236 0.192
Se: 0.764 0.764 0.808
S: 0.500 0.500 0.500

Run 2
A plane-wave DFT calculation with PBE was carried out for an optimized crystal structure of Ag8Se2S.

Summary:
DOS(E_F): 0.0802 states/eV per atom
crystal system: monoclinic
theoretical density: 7.9 Mg/m³

Lattice parameters (Å, degrees): 7.634 7.634 5.407 102.42 102.42 127.03
Positions (direct):
Ag: 0.000 0.000 0.000
Ag: 0.152 0.776 0.718
Ag: 0.301 0.647 0.148
Ag: 0.478 0.684 0.710
Ag: 0.647 0.301 0.148
Ag: 0.684 0.478 0.710
Ag: 0.776 0.152 0.718
Ag: 0.785 0.785 0.404
Se: 0.292 0.976 0.357
Se: 0.976 0.292 0.357
S: 0.391 0.391 0.959

run 2 is preferred energetically. Next in line: 7 meV per atom higher.